Density functional theory data (PBE) for crystalline NaAl3F at its relaxed geometry.

Results
For the magnetic moment, the calculation gives 0.000 μB/atom. The total energy comes out at -15.29 eV for the cell shown. The value obtained for the energy above the lowest structure with this stoichiometry is 0.000 eV/f.u. As for the formation energy (no corrections): -0.174 eV per atom.

abc: 4.6753 4.6753 4.6753
angles: 90.00 90.00 90.00
Closest atoms and distances in Å follow each position.
Fractional coordinates of all 5 atoms:
Na  0.0000  0.0000  0.0000  12 Al 3.31
Al  0.0000  0.5000  0.5000  2 F 2.34
Al  0.5000  0.0000  0.5000  2 F 2.34
Al  0.5000  0.5000  0.0000  2 F 2.34
F  0.5000  0.5000  0.5000  6 Al 2.34

---

Density functional theory data (PBE) for crystalline TiPd3Se at its relaxed geometry.

Results
For the magnetic moment, the calculation gives 0.000 μB/atom. The total energy comes out at -24.26 eV for the cell shown. The value obtained for the energy above the lowest structure with this stoichiometry is 1.286 eV/f.u. As for the formation energy (no corrections): 0.539 eV per atom.

abc: 4.6843 4.6843 4.6843
angles: 90.00 90.00 90.00
Closest atoms and distances in Å follow each position.
Fractional coordinates of all 5 atoms:
Ti  0.0000  0.0000  0.0000  6 Pd 2.34
Pd  0.0000  0.0000  0.5000  2 Ti 2.34
Pd  0.0000  0.5000  0.0000  2 Ti 2.34
Pd  0.5000  0.0000  0.0000  2 Ti 2.34
Se  0.5000  0.5000  0.5000  12 Pd 3.31

---

Density functional theory data (PBE) for crystalline Cd2AgCl at its relaxed geometry.

Results
For the magnetic moment, the calculation gives 0.000 μB/atom. The total energy comes out at -6.21 eV for the cell shown. The value obtained for the energy above the lowest structure with this stoichiometry is 1.370 eV/f.u. As for the formation energy (no corrections): 0.079 eV per atom.

abc: 5.1033 5.1033 5.1033
angles: 60.00 60.00 60.00
Closest atoms and distances in Å follow each position.
Fractional coordinates of all 4 atoms:
Cd  0.2500  0.2500  0.2500  4 Cl 3.13, 4 Ag 3.13
Cd  0.7500  0.7500  0.7500  4 Cl 3.13, 4 Ag 3.13
Ag  0.0000  0.0000  0.0000  8 Cd 3.13
Cl  0.5000  0.5000  0.5000  8 Cd 3.13

---

Density functional theory data (PBE) for crystalline LaTa2Rh2 at its relaxed geometry.

Results
For the magnetic moment, the calculation gives 0.000 μB/atom. The total energy comes out at -45.41 eV for the cell shown. The value obtained for the energy above the lowest structure with this stoichiometry is 0.000 eV/f.u. Its formation energy is -0.415 eV per atom.

abc: 6.1717 6.1717 6.1717
angles: 137.36 137.36 61.88
Closest atoms and distances in Å follow each position.
Fractional coordinates of all 5 atoms:
La  0.0000  0.0000  0.0000  8 Rh 3.46, 8 Ta 3.47
Ta  0.2500  0.7500  0.5000  4 Rh 2.58
Ta  0.7500  0.2500  0.5000  4 Rh 2.58
Rh  0.3704  0.3704  0.0000  4 Ta 2.58, 1 Rh 2.74
Rh  0.6296  0.6296  0.0000  4 Ta 2.58, 1 Rh 2.74

---

Density functional theory data (PBE) for crystalline Th2As2Se at its relaxed geometry.

Results
For the magnetic moment, the calculation gives 0.000 μB/atom. The total energy comes out at -32.72 eV for the cell shown. As for the formation energy (no corrections): -1.020 eV per atom.

abc: 4.5415 4.5415 7.1604
angles: 100.84 100.84 70.54
Closest atoms and distances in Å follow each position.
Fractional coordinates of all 5 atoms:
Th  0.1955  0.1955  0.2242  4 As 2.96-2.99, 3 Se 3.06-3.24
Th  0.8045  0.8045  0.7758  4 As 2.96-2.99, 3 Se 3.06-3.24
As  0.2441  0.7559  0.5000  2 As 2.56-2.68
As  0.7559  0.2441  0.5000  2 As 2.56-2.68
Se  0.5000  0.5000  0.0000  6 Th 3.06-3.24

---

Density functional theory data (PBE) for crystalline GaAg at its relaxed geometry.

Results
For the magnetic moment, the calculation gives 0.000 μB/atom. The total energy comes out at -5.51 eV for the cell shown. Its formation energy is 0.186 eV per atom.

abc: 3.8588 3.8588 3.8588
angles: 60.00 60.00 60.00
Closest atoms and distances in Å follow each position.
Fractional coordinates of all 2 atoms:
Ga  0.0000  0.0000  0.0000  6 Ag 2.73
Ag  0.5000  0.5000  0.5000  6 Ga 2.73

---

Density functional theory data (PBE) for crystalline Ce3Tl6Cd2 at its relaxed geometry.

Results
For the magnetic moment, the calculation gives 0.088 μB/atom. The total energy comes out at -34.71 eV for the cell shown. Its formation energy is -0.080 eV per atom.

abc: 14.8590 14.8590 14.8590
angles: 161.79 161.79 25.87
Closest atoms and distances in Å follow each position.
Fractional coordinates of all 11 atoms:
Ce  0.0000  0.0000  0.0000  8 Cd 3.58, 8 Tl 3.96
Ce  0.1942  0.1942  0.0000  9 Tl 3.17-3.39
Ce  0.8058  0.8058  0.0000  9 Tl 3.17-3.39
Tl  0.1100  0.6100  0.5000  2 Cd 3.00, 4 Tl 3.33
Tl  0.3037  0.3037  0.0000  5 Ce 3.17-3.33, 4 Tl 3.43
Tl  0.3900  0.8900  0.5000  2 Cd 3.00, 4 Tl 3.33
Tl  0.6100  0.1100  0.5000  2 Cd 3.00, 4 Tl 3.33
Tl  0.6963  0.6963  0.0000  5 Ce 3.17-3.33, 4 Tl 3.43
Tl  0.8900  0.3900  0.5000  2 Cd 3.00, 4 Tl 3.33
Cd  0.4542  0.4542  0.0000  1 Cd 2.66
Cd  0.5458  0.5458  0.0000  1 Cd 2.66

---

Density functional theory data (PBE) for crystalline PmTl2ClO4 at its relaxed geometry.

Results
For the magnetic moment, the calculation gives 0.000 μB/atom. The total energy comes out at -41.86 eV for the cell shown. As for the formation energy (no corrections): -1.337 eV per atom.

abc: 4.0576 4.0576 8.8542
angles: 90.00 90.00 90.00
Closest atoms and distances in Å follow each position.
Fractional coordinates of all 8 atoms:
Pm  0.0000  0.0000  0.0000  8 O 2.48
Tl  0.5000  0.5000  0.2642  4 O 2.23
Tl  0.5000  0.5000  0.7358  4 O 2.23
Cl  0.0000  0.0000  0.5000  8 Tl 3.55, 8 O 3.63
O  0.0000  0.5000  0.1602  2 Tl 2.23, 2 Pm 2.48
O  0.0000  0.5000  0.8398  2 Tl 2.23, 2 Pm 2.48
O  0.5000  0.0000  0.1602  2 Tl 2.23, 2 Pm 2.48
O  0.5000  0.0000  0.8398  2 Tl 2.23, 2 Pm 2.48

---

Theoretical density, respectively: 2.00; 7.21; 6.50; 11.01; 8.49; 7.26; 9.70; 7.44 g cm⁻³.